1.
First-principles (PBE) data for a geometry-optimized DyEr2Tm4Ni2Te2 structure, as listed in OQMD. Values from VASP.

Properties
energy relative to the lowest polymorph listed for this composition: 0.1 kJ per mole of atoms
uncorrected energy: -5.143 eV per atom

```
&SYSTEM
  ibrav = 0, nat = 11, ntyp = 5
/
ATOMIC_SPECIES
Dy 162.50 Dy.upf
Er 167.26 Er.upf
Tm 168.93 Tm.upf
Ni 58.69 Ni.upf
Te 127.60 Te.upf
ATOMIC_POSITIONS crystal
Dy 0.000 0.000 0.000
Er 0.450 0.583 0.867
Er 0.716 0.583 0.133
Tm 0.065 0.379 0.685
Tm 0.084 0.730 0.353
Tm 0.377 0.730 0.647
Tm 0.694 0.379 0.315
Ni 0.310 0.072 0.238
Ni 0.835 0.072 0.762
Te 0.337 0.337 0.000
Te 0.735 0.235 0.500
CELL_PARAMETERS angstrom
-1.911 7.726 4.734
1.911 -7.726 4.734
1.911 7.726 -4.734
```



2.
First-principles (PBE) data for a geometry-optimized Y2Zn15Au2 structure, as listed in OQMD. Values from VASP.

Properties
uncorrected energy: -2.310 eV per atom
formation energy from the elements: -5.46 eV/f.u.

```
&SYSTEM
  ibrav = 0, nat = 19, ntyp = 3
/
ATOMIC_SPECIES
Y 88.91 Y.upf
Zn 65.41 Zn.upf
Au 196.97 Au.upf
ATOMIC_POSITIONS crystal
Y 0.160 0.160 0.160
Y 0.840 0.840 0.840
Zn 0.000 0.500 0.500
Zn 0.147 0.147 0.664
Zn 0.147 0.664 0.147
Zn 0.204 0.500 0.796
Zn 0.204 0.796 0.500
Zn 0.336 0.853 0.853
Zn 0.500 0.000 0.500
Zn 0.500 0.204 0.796
Zn 0.500 0.500 0.000
Zn 0.500 0.796 0.204
Zn 0.664 0.147 0.147
Zn 0.796 0.204 0.500
Zn 0.796 0.500 0.204
Zn 0.853 0.336 0.853
Zn 0.853 0.853 0.336
Au 0.389 0.389 0.389
Au 0.611 0.611 0.611
CELL_PARAMETERS angstrom
4.510 2.604 4.402
-4.510 2.604 4.402
0.000 -5.207 4.402
```



3.
First-principles (PBE) data for a geometry-optimized PrSmI2BrN structure, as listed in OQMD. Values from VASP.

Properties
energy relative to the lowest polymorph listed for this composition: 0.0 kJ per mole of atoms
uncorrected energy: -5.356 eV per atom

```
&SYSTEM
  ibrav = 0, nat = 12, ntyp = 5
/
ATOMIC_SPECIES
Pr 140.91 Pr.upf
Sm 150.36 Sm.upf
I 126.90 I.upf
Br 79.90 Br.upf
N 14.01 N.upf
ATOMIC_POSITIONS crystal
Pr 0.130 0.130 0.277
Pr 0.870 0.870 0.723
Sm 0.426 0.426 0.035
Sm 0.574 0.574 0.965
I 0.048 0.048 0.749
I 0.336 0.336 0.484
I 0.664 0.664 0.516
I 0.952 0.952 0.251
Br 0.205 0.205 0.116
Br 0.795 0.795 0.884
N 0.431 0.431 0.852
N 0.569 0.569 0.148
CELL_PARAMETERS angstrom
9.691 -2.056 0.000
9.691 2.056 0.000
-6.984 0.000 10.219
```



4.
First-principles (PBE) data for a geometry-optimized Co2Re11 structure, as listed in OQMD. Values from VASP.

Properties
energy relative to the lowest polymorph listed for this composition: 1.3 kJ per mole of atoms
uncorrected energy: -11.329 eV per atom
formation energy from the elements: 3.59 eV/f.u.

```
&SYSTEM
  ibrav = 0, nat = 13, ntyp = 2
/
ATOMIC_SPECIES
Co 58.93 Co.upf
Re 186.21 Re.upf
ATOMIC_POSITIONS crystal
Co 0.165 0.165 0.165
Co 0.835 0.835 0.835
Re 0.000 0.000 0.000
Re 0.088 0.088 0.582
Re 0.088 0.582 0.088
Re 0.346 0.346 0.346
Re 0.418 0.912 0.912
Re 0.454 0.454 0.454
Re 0.546 0.546 0.546
Re 0.582 0.088 0.088
Re 0.654 0.654 0.654
Re 0.912 0.418 0.912
Re 0.912 0.912 0.418
CELL_PARAMETERS angstrom
2.527 1.459 8.825
-2.527 1.459 8.825
0.000 -2.918 8.825
```



5.
First-principles (PBE) data for a geometry-optimized K2HgO4 structure, as listed in OQMD. Values from VASP.

Properties
uncorrected energy: -3.196 eV per atom

```
&SYSTEM
  ibrav = 0, nat = 14, ntyp = 3
/
ATOMIC_SPECIES
K 39.10 K.upf
Hg 200.59 Hg.upf
O 16.00 O.upf
ATOMIC_POSITIONS crystal
K 0.000 0.000 0.000
K 0.000 0.000 0.500
K 0.000 0.500 0.000
K 0.500 0.000 0.500
Hg 0.375 0.625 0.750
Hg 0.625 0.375 0.250
O 0.259 0.740 0.519
O 0.260 0.279 0.519
O 0.260 0.741 0.981
O 0.279 0.260 0.019
O 0.721 0.740 0.981
O 0.740 0.259 0.019
O 0.740 0.721 0.481
O 0.741 0.260 0.481
CELL_PARAMETERS angstrom
-3.601 3.601 5.088
3.601 -3.601 5.088
3.601 3.601 -5.088
```



6.
First-principles (PBE) data for a geometry-optimized AlZn structure, as listed in OQMD. Values from VASP.

Properties
uncorrected energy: -2.438 eV per atom

```
&SYSTEM
  ibrav = 0, nat = 12, ntyp = 2
/
ATOMIC_SPECIES
Al 26.98 Al.upf
Zn 65.41 Zn.upf
ATOMIC_POSITIONS crystal
Al 0.000 0.083 0.000
Al 0.000 0.253 0.500
Al 0.000 0.747 0.000
Al 0.000 0.917 0.500
Al 0.500 0.251 0.163
Al 0.500 0.749 0.663
Zn 0.000 0.418 0.996
Zn 0.000 0.582 0.496
Zn 0.500 0.084 0.664
Zn 0.500 0.419 0.666
Zn 0.500 0.581 0.166
Zn 0.500 0.916 0.164
CELL_PARAMETERS angstrom
4.674 0.000 0.000
0.000 8.447 0.000
0.000 0.000 4.832
```



7.
First-principles (PBE) data for a geometry-optimized HfZnFeAg structure, as listed in OQMD. Values from VASP.

Properties
energy relative to the lowest polymorph listed for this composition: 6.4 kJ per mole of atoms
uncorrected energy: -5.445 eV per atom
formation energy from the elements: 0.57 eV/f.u.

```
&SYSTEM
  ibrav = 0, nat = 4, ntyp = 4
/
ATOMIC_SPECIES
Hf 178.49 Hf.upf
Zn 65.41 Zn.upf
Fe 55.84 Fe.upf
Ag 107.87 Ag.upf
ATOMIC_POSITIONS crystal
Hf 0.000 0.000 0.000
Zn 0.250 0.250 0.250
Fe 0.500 0.500 0.500
Ag 0.750 0.750 0.750
CELL_PARAMETERS angstrom
0.000 3.207 3.207
3.207 0.000 3.207
3.207 3.207 0.000
```



8.
First-principles (PBE) data for a geometry-optimized Ag3AuSe2 structure, as listed in OQMD. Values from VASP.

Properties
uncorrected energy: -3.212 eV per atom

```
&SYSTEM
  ibrav = 0, nat = 24, ntyp = 3
/
ATOMIC_SPECIES
Ag 107.87 Ag.upf
Au 196.97 Au.upf
Se 78.96 Se.upf
ATOMIC_POSITIONS crystal
Ag 0.129 0.750 0.879
Ag 0.129 0.879 0.250
Ag 0.250 0.129 0.879
Ag 0.250 0.621 0.371
Ag 0.371 0.250 0.621
Ag 0.371 0.621 0.750
Ag 0.621 0.371 0.250
Ag 0.621 0.750 0.371
Ag 0.750 0.371 0.621
Ag 0.750 0.879 0.129
Ag 0.879 0.129 0.750
Ag 0.879 0.250 0.129
Au 0.000 0.250 0.500
Au 0.250 0.250 0.250
Au 0.250 0.500 0.000
Au 0.500 0.000 0.250
Se 0.000 0.539 0.500
Se 0.000 0.961 0.500
Se 0.500 0.000 0.539
Se 0.500 0.000 0.961
Se 0.539 0.500 0.000
Se 0.539 0.539 0.539
Se 0.961 0.500 0.000
Se 0.961 0.961 0.961
CELL_PARAMETERS angstrom
-5.016 5.016 5.016
5.016 -5.016 5.016
5.016 5.016 -5.016
```



9.
First-principles (PBE) data for a geometry-optimized CuNiIr3 structure, as listed in OQMD. Values from VASP.

Properties
uncorrected energy: -5.530 eV per atom
formation energy from the elements: 8.20 eV/f.u.

```
&SYSTEM
  ibrav = 0, nat = 5, ntyp = 3
/
ATOMIC_SPECIES
Cu 63.55 Cu.upf
Ni 58.69 Ni.upf
Ir 192.22 Ir.upf
ATOMIC_POSITIONS crystal
Cu 0.000 0.000 0.000
Ni 0.500 0.500 0.500
Ir 0.000 0.500 0.500
Ir 0.500 0.000 0.500
Ir 0.500 0.500 0.000
CELL_PARAMETERS angstrom
4.447 0.000 0.000
0.000 4.447 0.000
0.000 0.000 4.447
```



10.
First-principles (PBE) data for a geometry-optimized SrThAs structure, as listed in OQMD. Values from VASP.

Properties
energy relative to the lowest polymorph listed for this composition: 0.0 kJ per mole of atoms
uncorrected energy: -4.959 eV per atom

```
&SYSTEM
  ibrav = 0, nat = 3, ntyp = 3
/
ATOMIC_SPECIES
Sr 87.62 Sr.upf
Th 232.04 Th.upf
As 74.92 As.upf
ATOMIC_POSITIONS crystal
Sr 0.000 0.000 0.000
Th 0.500 0.500 0.500
As 0.250 0.250 0.250
CELL_PARAMETERS angstrom
0.000 3.596 3.596
3.596 0.000 3.596
3.596 3.596 0.000
```



11.
First-principles (PBE) data for a geometry-optimized SmZrAsO structure, as listed in OQMD. Values from VASP.

Properties
energy relative to the lowest polymorph listed for this composition: 0.0 kJ per mole of atoms
uncorrected energy: -7.671 eV per atom

```
&SYSTEM
  ibrav = 0, nat = 8, ntyp = 4
/
ATOMIC_SPECIES
Sm 150.36 Sm.upf
Zr 91.22 Zr.upf
As 74.92 As.upf
O 16.00 O.upf
ATOMIC_POSITIONS crystal
Sm 0.250 0.250 0.117
Sm 0.750 0.750 0.883
Zr 0.250 0.750 0.500
Zr 0.750 0.250 0.500
As 0.250 0.250 0.694
As 0.750 0.750 0.306
O 0.250 0.750 0.000
O 0.750 0.250 0.000
CELL_PARAMETERS angstrom
4.221 0.000 0.000
0.000 4.221 0.000
0.000 0.000 8.895
```



12.
First-principles (PBE) data for a geometry-optimized CdCuAgSnSe4 structure, as listed in OQMD. Values from VASP.

Properties
uncorrected energy: -3.531 eV per atom

```
&SYSTEM
  ibrav = 0, nat = 8, ntyp = 5
/
ATOMIC_SPECIES
Cd 112.41 Cd.upf
Cu 63.55 Cu.upf
Ag 107.87 Ag.upf
Sn 118.71 Sn.upf
Se 78.96 Se.upf
ATOMIC_POSITIONS crystal
Cd 0.000 0.000 0.000
Cu 0.750 0.250 0.500
Ag 0.500 0.500 0.000
Sn 0.250 0.750 0.500
Se 0.106 0.601 0.975
Se 0.399 0.374 0.505
Se 0.626 0.131 0.025
Se 0.869 0.894 0.495
CELL_PARAMETERS angstrom
-2.946 2.946 6.190
2.946 -2.946 6.190
2.946 2.946 -6.190
```



13.
First-principles (PBE) data for a geometry-optimized ZnTe2 structure, as listed in OQMD. Values from VASP.

Properties
uncorrected energy: -2.083 eV per atom

```
&SYSTEM
  ibrav = 0, nat = 6, ntyp = 2
/
ATOMIC_SPECIES
Zn 65.41 Zn.upf
Te 127.60 Te.upf
ATOMIC_POSITIONS crystal
Zn 0.125 0.125 0.125
Zn 0.875 0.875 0.875
Te 0.000 0.500 0.500
Te 0.500 0.000 0.500
Te 0.500 0.500 0.000
Te 0.500 0.500 0.500
CELL_PARAMETERS angstrom
0.000 4.512 4.512
4.512 0.000 4.512
4.512 4.512 0.000
```



14.
First-principles (PBE) data for a geometry-optimized PdIBr2 structure, as listed in OQMD. Values from VASP.

Properties
uncorrected energy: -2.676 eV per atom

```
&SYSTEM
  ibrav = 0, nat = 8, ntyp = 3
/
ATOMIC_SPECIES
Pd 106.42 Pd.upf
I 126.90 I.upf
Br 79.90 Br.upf
ATOMIC_POSITIONS crystal
Pd 0.249 0.000 0.000
Pd 0.751 0.000 0.000
I 0.000 0.008 0.331
I 0.000 0.331 0.008
Br 0.000 0.700 0.700
Br 0.500 0.297 0.297
Br 0.500 0.689 0.991
Br 0.500 0.991 0.689
CELL_PARAMETERS angstrom
6.291 0.000 0.000
0.000 5.944 3.384
0.000 -5.944 3.384
```



15.
First-principles (PBE) data for a geometry-optimized TbCuTePbS2 structure, as listed in OQMD. Values from VASP.

Properties
uncorrected energy: -4.869 eV per atom

```
&SYSTEM
  ibrav = 0, nat = 12, ntyp = 5
/
ATOMIC_SPECIES
Tb 158.93 Tb.upf
Cu 63.55 Cu.upf
Te 127.60 Te.upf
Pb 207.20 Pb.upf
S 32.06 S.upf
ATOMIC_POSITIONS crystal
Tb 0.000 0.000 0.000
Tb 0.000 0.000 0.500
Cu 0.476 0.524 0.750
Cu 0.524 0.476 0.250
Te 0.102 0.898 0.750
Te 0.898 0.102 0.250
Pb 0.210 0.790 0.250
Pb 0.790 0.210 0.750
S 0.378 0.622 0.577
S 0.378 0.622 0.923
S 0.622 0.378 0.077
S 0.622 0.378 0.423
CELL_PARAMETERS angstrom
2.011 -6.954 0.000
2.011 6.954 0.000
0.000 0.000 10.984
```



16.
First-principles (PBE) data for a geometry-optimized Ho3Tm3Lu2Te structure, as listed in OQMD. Values from VASP.

Properties
uncorrected energy: -4.652 eV per atom

```
&SYSTEM
  ibrav = 0, nat = 9, ntyp = 4
/
ATOMIC_SPECIES
Ho 164.93 Ho.upf
Tm 168.93 Tm.upf
Lu 174.97 Lu.upf
Te 127.60 Te.upf
ATOMIC_POSITIONS crystal
Ho 0.000 0.277 0.000
Ho 0.277 0.000 0.000
Ho 0.723 0.723 0.000
Tm 0.000 0.614 0.500
Tm 0.386 0.386 0.500
Tm 0.614 0.000 0.500
Lu 0.333 0.667 0.000
Lu 0.667 0.333 0.000
Te 0.000 0.000 0.500
CELL_PARAMETERS angstrom
9.110 0.000 0.000
-4.555 7.890 0.000
0.000 0.000 3.729
```



17.
First-principles (PBE) data for a geometry-optimized Hf2ZrGe4Pd4 structure, as listed in OQMD. Values from VASP.

Properties
uncorrected energy: -6.872 eV per atom

```
&SYSTEM
  ibrav = 0, nat = 11, ntyp = 4
/
ATOMIC_SPECIES
Hf 178.49 Hf.upf
Zr 91.22 Zr.upf
Ge 72.64 Ge.upf
Pd 106.42 Pd.upf
ATOMIC_POSITIONS crystal
Hf 0.123 0.123 0.000
Hf 0.877 0.877 0.000
Zr 0.500 0.000 0.500
Ge 0.191 0.500 0.691
Ge 0.287 0.787 0.500
Ge 0.713 0.213 0.500
Ge 0.809 0.500 0.309
Pd 0.120 0.325 0.795
Pd 0.470 0.675 0.795
Pd 0.530 0.325 0.205
Pd 0.880 0.675 0.205
CELL_PARAMETERS angstrom
-2.025 3.468 6.715
2.025 -3.468 6.715
2.025 3.468 -6.715
```



18.
First-principles (PBE) data for a geometry-optimized GdInNO structure, as listed in OQMD. Values from VASP.

Properties
energy relative to the lowest polymorph listed for this composition: 0.0 kJ per mole of atoms
uncorrected energy: -6.624 eV per atom

```
&SYSTEM
  ibrav = 0, nat = 16, ntyp = 4
/
ATOMIC_SPECIES
Gd 157.25 Gd.upf
In 114.82 In.upf
N 14.01 N.upf
O 16.00 O.upf
ATOMIC_POSITIONS crystal
Gd 0.002 0.120 0.000
Gd 0.498 0.120 0.500
Gd 0.502 0.880 0.000
Gd 0.998 0.880 0.500
In 0.057 0.606 0.976
In 0.443 0.606 0.476
In 0.557 0.394 0.976
In 0.943 0.394 0.476
N 0.084 0.619 0.594
N 0.416 0.619 0.094
N 0.584 0.381 0.594
N 0.916 0.381 0.094
O 0.248 0.999 0.247
O 0.252 0.999 0.747
O 0.748 0.001 0.247
O 0.752 0.001 0.747
CELL_PARAMETERS angstrom
5.871 0.000 0.000
0.000 8.369 0.000
0.000 0.000 5.790
```



19.
First-principles (PBE) data for a geometry-optimized CsHgAsO structure, as listed in OQMD. Values from VASP.

Properties
energy relative to the lowest polymorph listed for this composition: 8.0 kJ per mole of atoms
uncorrected energy: -2.825 eV per atom

```
&SYSTEM
  ibrav = 0, nat = 8, ntyp = 4
/
ATOMIC_SPECIES
Cs 132.91 Cs.upf
Hg 200.59 Hg.upf
As 74.92 As.upf
O 16.00 O.upf
ATOMIC_POSITIONS crystal
Cs 0.000 0.128 0.000
Cs 0.000 0.872 0.500
Hg 0.500 0.371 0.354
Hg 0.500 0.629 0.854
As 0.500 0.359 0.665
As 0.500 0.641 0.165
O 0.000 0.182 0.322
O 0.000 0.818 0.822
CELL_PARAMETERS angstrom
3.482 0.000 0.000
0.000 7.491 0.000
0.000 0.000 8.538
```



20.
First-principles (PBE) data for a geometry-optimized LuZnCoPb structure, as listed in OQMD. Values from VASP.

Properties
energy relative to the lowest polymorph listed for this composition: 0.0 kJ per mole of atoms
uncorrected energy: -4.128 eV per atom

```
&SYSTEM
  ibrav = 0, nat = 4, ntyp = 4
/
ATOMIC_SPECIES
Lu 174.97 Lu.upf
Zn 65.41 Zn.upf
Co 58.93 Co.upf
Pb 207.20 Pb.upf
ATOMIC_POSITIONS crystal
Lu 0.000 0.000 0.000
Zn 0.250 0.250 0.250
Co 0.750 0.750 0.750
Pb 0.500 0.500 0.500
CELL_PARAMETERS angstrom
0.000 3.342 3.342
3.342 0.000 3.342
3.342 3.342 0.000
```



21.
First-principles (PBE) data for a geometry-optimized BaAuO3 structure, as listed in OQMD. Values from VASP.

Properties
uncorrected energy: -5.044 eV per atom

```
&SYSTEM
  ibrav = 0, nat = 5, ntyp = 3
/
ATOMIC_SPECIES
Ba 137.33 Ba.upf
Au 196.97 Au.upf
O 16.00 O.upf
ATOMIC_POSITIONS crystal
Ba 0.000 0.000 0.000
Au 0.500 0.500 0.488
O 0.000 0.500 0.553
O 0.500 0.000 0.553
O 0.500 0.500 0.001
CELL_PARAMETERS angstrom
4.121 0.000 0.000
0.000 4.121 0.000
0.000 0.000 4.303
```



22.
First-principles (PBE) data for a geometry-optimized AgGeTe3Ir structure, as listed in OQMD. Values from VASP.

Properties
uncorrected energy: -4.363 eV per atom

```
&SYSTEM
  ibrav = 0, nat = 12, ntyp = 4
/
ATOMIC_SPECIES
Ag 107.87 Ag.upf
Ge 72.64 Ge.upf
Te 127.60 Te.upf
Ir 192.22 Ir.upf
ATOMIC_POSITIONS crystal
Ag 0.195 0.805 0.750
Ag 0.805 0.195 0.250
Ge 0.180 0.820 0.250
Ge 0.820 0.180 0.750
Te 0.118 0.882 0.516
Te 0.118 0.882 0.984
Te 0.451 0.549 0.750
Te 0.549 0.451 0.250
Te 0.882 0.118 0.016
Te 0.882 0.118 0.484
Ir 0.500 0.500 0.000
Ir 0.500 0.500 0.500
CELL_PARAMETERS angstrom
2.041 -7.405 0.000
2.041 7.405 0.000
0.000 0.000 10.520
```